CeYNi2P2: relaxed, GGA-PBE.

Lattice parameters (Å, degrees): 3.9216 3.9216 7.8150 90.00 90.00 120.00
Space group P-3m1 (No. 164)
Inequivalent atoms, fractional coordinates:
1 Ce 0.0000 0.0000 0.0000
2 Y 0.0000 0.0000 0.5000
3 Ni 0.3333 0.6667 0.7581
4 P 0.3333 0.6667 0.2582

The energy of formation from the pure elements is -1201 meV per atom. For the uncorrected energy, the calculation gives -41.99 eV per cell. The volume is 104.09 Å³/cell. Its crystal system is trigonal.


Ce2ZnNi12P3: relaxed, GGA-PBE.

Lattice parameters (Å, degrees): 8.3995 8.3995 11.9331 90.00 90.00 120.00
Space group R-3m (No. 166, hexagonal axes)
Inequivalent atoms, fractional coordinates:
1 Ce 0.0000 0.0000 0.1601
2 Zn 0.0000 0.0000 0.5000
3 Ni 0.0016 0.5008 0.1837
4 Ni 0.0106 0.5053 0.3847
5 P 0.0000 0.5000 0.0000

The energy of formation from the pure elements is -197 meV per atom. For the uncorrected energy, the calculation gives -306.90 eV per cell. The volume is 729.11 Å³/cell. Its crystal system is trigonal.


CeZnNi2P2: relaxed, GGA-PBE.

Lattice parameters (Å, degrees): 3.9535 3.9535 6.6105 90.00 90.00 120.00
Space group P-3m1 (No. 164)
Inequivalent atoms, fractional coordinates:
1 Ce 0.0000 0.0000 0.0000
2 Zn 0.0000 0.0000 0.5000
3 Ni 0.3333 0.6667 0.6543
4 P 0.3333 0.6667 0.2659

The energy of formation from the pure elements is -787 meV per atom. For the uncorrected energy, the calculation gives -34.31 eV per cell. The volume is 89.48 Å³/cell. Its crystal system is trigonal.


Ce2ZnNi3P4: relaxed, GGA-PBE.

Lattice parameters (Å, degrees): 4.108 4.108 9.174 90.00 90.00 90.00
Space group P-4m2 (No. 115)
Inequivalent atoms, fractional coordinates:
1 Ce 0.000 0.500 0.239
2 Zn 0.000 0.000 0.500
3 Ni 0.000 0.500 0.891
4 Ni 0.500 0.500 0.500
5 P 0.000 0.000 0.000
6 P 0.000 0.500 0.643
7 P 0.500 0.500 0.000

The energy of formation from the pure elements is -897 meV per atom. For the uncorrected energy, the calculation gives -61.09 eV per cell. The volume is 154.81 Å³/cell. Its crystal system is tetragonal.


Ce2ZnNi4P3: relaxed, GGA-PBE.

Lattice parameters (Å, degrees): 3.970 3.970 9.508 90.00 90.00 90.00
Space group P-4m2 (No. 115)
Inequivalent atoms, fractional coordinates:
1 Ce 0.000 0.500 0.243
2 Zn 0.000 0.000 0.500
3 Ni 0.000 0.000 0.000
4 Ni 0.000 0.500 0.636
5 Ni 0.500 0.500 0.000
6 P 0.000 0.500 0.871
7 P 0.500 0.500 0.500

The energy of formation from the pure elements is -907 meV per atom. For the uncorrected energy, the calculation gives -61.56 eV per cell. The volume is 149.85 Å³/cell. Its crystal system is tetragonal.


CeZrNi2P2: relaxed, GGA-PBE.

Lattice parameters (Å, degrees): 3.8471 3.8471 7.6302 90.00 90.00 120.00
Space group P-3m1 (No. 164)
Inequivalent atoms, fractional coordinates:
1 Ce 0.0000 0.0000 0.0000
2 Zr 0.0000 0.0000 0.5000
3 Ni 0.3333 0.6667 0.7311
4 P 0.3333 0.6667 0.2637

The energy of formation from the pure elements is -1133 meV per atom. For the uncorrected energy, the calculation gives -43.66 eV per cell. The volume is 97.80 Å³/cell. Its crystal system is trigonal.


Ce2PaNi: relaxed, GGA-PBE.

Lattice parameters (Å, degrees): 3.367 3.367 8.005 90.00 90.00 90.00
Space group P4/mmm (No. 123)
Inequivalent atoms, fractional coordinates:
1 Ce 0.000 0.000 0.216
2 Pa 0.500 0.500 0.500
3 Ni 0.500 0.500 0.000

The energy of formation from the pure elements is -85 meV per atom. Its energy above the most stable polymorph in this dataset is 0.00 eV per formula unit. For the uncorrected energy, the calculation gives -27.49 eV per cell. The volume is 90.75 Å³/cell. Its crystal system is tetragonal.


CePaNi17: relaxed, GGA-PBE.

Lattice parameters (Å, degrees): 8.2690 8.2690 12.0845 90.00 90.00 120.00
Space group R3m (No. 160, hexagonal axes)
Inequivalent atoms, fractional coordinates:
1 Ce 0.0000 0.0000 0.0000
2 Pa 0.0000 0.0000 0.3286
3 Ni 0.0000 0.0000 0.5612
4 Ni 0.0000 0.0000 0.7619
5 Ni 0.0365 0.3681 0.3301
6 Ni 0.1671 0.3341 0.1505
7 Ni 0.1672 0.3345 0.4970
8 Ni 0.1690 0.3380 0.8433

The energy of formation from the pure elements is -218 meV per atom. For the uncorrected energy, the calculation gives -353.58 eV per cell. The volume is 715.60 Å³/cell. Its crystal system is trigonal.


CePa3Ni8: relaxed, GGA-PBE.

Lattice parameters (Å, degrees): 4.9848 4.9848 8.4351 90.00 90.00 120.00
Space group P3m1 (No. 156)
Inequivalent atoms, fractional coordinates:
1 Ce 0.0000 0.0000 0.0000
2 Pa 0.0000 0.0000 0.3870
3 Pa 0.6667 0.3333 0.5064
4 Pa 0.6667 0.3333 0.8958
5 Ni 0.0040 0.5020 0.1994
6 Ni 0.1691 0.3382 0.6953
7 Ni 0.3333 0.6667 0.4474
8 Ni 0.3333 0.6667 0.9462

The energy of formation from the pure elements is -395 meV per atom. For the uncorrected energy, the calculation gives -85.41 eV per cell. The volume is 181.52 Å³/cell. Its crystal system is trigonal.


Ce2PaNi: relaxed, GGA-PBE.

Lattice parameters (Å, degrees): 3.1016 3.1016 31.1943 90.00 90.00 120.00
Space group R-3m (No. 166, hexagonal axes)
Inequivalent atoms, fractional coordinates:
1 Ce 0.0000 0.0000 0.0960
2 Pa 0.0000 0.0000 0.0000
3 Ni 0.0000 0.0000 0.5000

The energy of formation from the pure elements is 140 meV per atom. Its energy above the most stable polymorph in this dataset is 0.90 eV per formula unit. For the uncorrected energy, the calculation gives -79.75 eV per cell. The volume is 259.89 Å³/cell. Its crystal system is trigonal.


Ce2Pa2Ni15: relaxed, GGA-PBE.

Lattice parameters (Å, degrees): 8.4649 8.4649 12.8805 90.00 90.00 120.00
Space group R-3m (No. 166, hexagonal axes)
Inequivalent atoms, fractional coordinates:
1 Ce 0.0000 0.0000 0.1409
2 Pa 0.0000 0.0000 0.3905
3 Ni 0.0000 0.3146 0.5000
4 Ni 0.0000 0.5000 0.0000
5 Ni 0.0060 0.5030 0.6580

The energy of formation from the pure elements is -300 meV per atom. For the uncorrected energy, the calculation gives -369.82 eV per cell. The volume is 799.28 Å³/cell. Its crystal system is trigonal.


CePaNi10: relaxed, GGA-PBE.

Lattice parameters (Å, degrees): 3.999 4.859 8.406 90.00 90.00 90.00
Space group Pmmm (No. 47)
Inequivalent atoms, fractional coordinates:
1 Ce 0.000 0.000 0.000
2 Pa 0.000 0.500 0.500
3 Ni 0.000 0.000 0.337
4 Ni 0.000 0.500 0.171
5 Ni 0.500 0.000 0.500
6 Ni 0.500 0.254 0.254
7 Ni 0.500 0.500 0.000

The energy of formation from the pure elements is -367 meV per atom. For the uncorrected energy, the calculation gives -77.65 eV per cell. The volume is 163.33 Å³/cell. Its crystal system is orthorhombic.